No. 1
Material: TmBiSb2
Method: DFT, PBE
State: optimized geometry

Cell lengths 4.085, 4.085, 6.672 Å; angles 90.00, 90.00, 90.00 degrees
Fractional coordinates of all 4 atoms:
Sb  0.000  0.000  0.726
Sb  0.000  0.000  0.274
Tm  0.500  0.500  0.500
Bi  0.500  0.500  0.000

Summary:
ΔE to the lowest computed polymorph	61.6	meV per atom
spin magnetization	0.0	μB/f.u.
E	-17.960	eV for the cell shown

No. 2
Material: ReTc6B4
Method: DFT, PBE
State: optimized geometry

Cell lengths 5.664, 5.664, 5.664 Å; angles 88.52, 120.86, 120.86 degrees
Fractional coordinates of all 11 atoms:
Re  0.000  0.000  0.000
Tc  0.000  0.923  0.548
Tc  0.000  0.548  0.923
Tc  0.625  0.077  0.077
Tc  0.500  0.000  0.500
Tc  0.375  0.452  0.452
Tc  0.500  0.500  0.000
B  0.000  0.302  0.587
B  0.715  0.413  0.413
B  0.000  0.587  0.302
B  0.285  0.698  0.698

Summary:
calculated formation energy	-0.15	eV/atom
spin magnetization	0.0	μB/f.u.
E	-102.953	eV for the cell shown

No. 3
Material: PmNdZnIr
Method: DFT, PBE
State: optimized geometry

Cell lengths 4.018, 4.444, 5.816 Å; angles 90.00, 110.21, 90.00 degrees
Fractional coordinates of all 4 atoms:
Pm  0.861  0.500  0.723
Nd  0.139  0.000  0.278
Zn  0.569  0.500  0.137
Ir  0.431  0.000  0.861

Summary:
calculated formation energy	-0.52	eV/atom
ΔE to the lowest computed polymorph	0.0	meV per atom
spin magnetization	0.0	μB/f.u.
E	-21.735	eV for the cell shown

No. 4
Material: BeCuSi
Method: DFT, PBE
State: optimized geometry

Cell lengths 4.048, 4.048, 2.533 Å; angles 90.00, 90.00, 120.00 degrees
Fractional coordinates of all 3 atoms:
Be  0.000  0.000  0.981
Si  0.333  0.667  0.557
Cu  0.667  0.333  0.462

Summary:
ΔE to the lowest computed polymorph	262.3	meV per atom
spin magnetization	0.0	μB/f.u.
E	-12.331	eV for the cell shown

No. 5
Material: TaTlPb2
Method: DFT, PBE
State: optimized geometry

Cell lengths 11.756, 11.756, 11.756 Å; angles 15.95, 15.95, 15.95 degrees
Fractional coordinates of all 4 atoms:
Pb  0.990  0.990  0.990
Pb  0.510  0.510  0.510
Ta  0.250  0.250  0.250
Tl  0.750  0.750  0.750

Summary:
calculated formation energy	0.37	eV/atom
ΔE to the lowest computed polymorph	45.3	meV per atom
spin magnetization	0.0	μB/f.u.
E	-20.156	eV for the cell shown

No. 6
Material: LiSm2TlO5
Method: DFT, PBE
State: optimized geometry

Cell lengths 3.483, 7.156, 9.826 Å; angles 90.00, 90.00, 104.08 degrees
Fractional coordinates of all 18 atoms:
Li  0.771  0.542  0.504
Li  0.229  0.458  0.004
Sm  0.870  0.739  0.798
Sm  0.130  0.259  0.679
Sm  0.130  0.261  0.298
Sm  0.870  0.741  0.179
Tl  0.569  0.137  0.981
Tl  0.431  0.863  0.481
O  0.362  0.723  0.002
O  0.699  0.397  0.834
O  0.503  0.005  0.783
O  0.303  0.605  0.649
O  0.968  0.935  0.593
O  0.638  0.277  0.502
O  0.301  0.603  0.334
O  0.497  0.995  0.283
O  0.697  0.395  0.149
O  0.032  0.065  0.093

Summary:
spin magnetization	0.0	μB/f.u.
E	-118.375	eV for the cell shown

No. 7
Material: CdC3Br
Method: DFT, PBE
State: optimized geometry

Cell lengths 4.156, 4.156, 4.156 Å; angles 90.00, 90.00, 90.00 degrees
Fractional coordinates of all 5 atoms:
C  0.000  0.500  0.000
C  0.000  0.000  0.500
C  0.500  0.000  0.000
Br  0.000  0.000  0.000
Cd  0.500  0.500  0.500

Summary:
ΔE to the lowest computed polymorph	0.0	meV per atom
spin magnetization	0.0	μB/f.u.
E	-13.345	eV for the cell shown

No. 8
Material: Li2AgPH
Method: DFT, PBE
State: optimized geometry

Cell lengths 3.941, 3.941, 3.923 Å; angles 90.00, 90.00, 90.00 degrees
Fractional coordinates of all 5 atoms:
P  0.500  0.500  0.500
H  0.000  0.000  0.000
Ag  0.000  0.000  0.500
Li  0.000  0.500  0.000
Li  0.500  0.000  0.000

Summary:
ΔE to the lowest computed polymorph	0.0	meV per atom
spin magnetization	0.0	μB/f.u.
E	-16.712	eV for the cell shown

No. 9
Material: PmDy2Y3P6
Method: DFT, PBE
State: optimized geometry

Cell lengths 6.983, 6.983, 6.984 Å; angles 99.59, 99.59, 119.99 degrees
Fractional coordinates of all 12 atoms:
Pm  0.000  0.000  0.000
Dy  0.333  0.667  0.000
Dy  0.667  0.333  0.000
Y  0.166  0.834  0.500
Y  0.834  0.166  0.500
Y  0.500  0.500  0.500
P  0.916  0.579  0.748
P  0.746  0.746  0.252
P  0.084  0.421  0.252
P  0.579  0.916  0.748
P  0.254  0.254  0.748
P  0.421  0.084  0.252

Summary:
calculated formation energy	-1.61	eV/atom
spin magnetization	0.0	μB/f.u.
E	-85.121	eV for the cell shown

No. 10
Material: SmHo3In3
Method: DFT, PBE
State: optimized geometry

Cell lengths 9.323, 9.323, 9.323 Å; angles 90.00, 90.00, 90.00 degrees
Fractional coordinates of all 28 atoms:
Sm  0.054  0.554  0.946
Sm  0.946  0.054  0.554
Sm  0.446  0.446  0.446
Sm  0.554  0.946  0.054
Ho  0.830  0.330  0.170
Ho  0.891  0.891  0.891
Ho  0.806  0.694  0.306
Ho  0.170  0.830  0.330
Ho  0.194  0.194  0.194
Ho  0.306  0.806  0.694
Ho  0.109  0.391  0.609
Ho  0.330  0.170  0.830
Ho  0.694  0.306  0.806
Ho  0.670  0.670  0.670
Ho  0.609  0.109  0.391
Ho  0.391  0.609  0.109
In  0.711  0.605  0.996
In  0.895  0.004  0.211
In  0.996  0.711  0.605
In  0.105  0.504  0.289
In  0.289  0.105  0.504
In  0.211  0.895  0.004
In  0.004  0.211  0.895
In  0.395  0.496  0.789
In  0.504  0.289  0.105
In  0.605  0.996  0.711
In  0.789  0.395  0.496
In  0.496  0.789  0.395

Summary:
calculated formation energy	-0.31	eV/atom
ΔE to the lowest computed polymorph	40.3	meV per atom
spin magnetization	0.0	μB/f.u.
E	-115.404	eV for the cell shown

No. 11
Material: Pm3Nd7
Method: DFT, PBE
State: optimized geometry

Cell lengths 5.182, 7.342, 11.019 Å; angles 119.93, 103.60, 90.00 degrees
Fractional coordinates of all 10 atoms:
Pm  0.000  0.000  0.000
Pm  0.200  0.800  0.400
Pm  0.800  0.200  0.600
Nd  0.000  0.500  0.000
Nd  0.200  0.300  0.400
Nd  0.800  0.700  0.600
Nd  0.400  0.100  0.799
Nd  0.600  0.900  0.201
Nd  0.400  0.600  0.800
Nd  0.600  0.400  0.200

Summary:
calculated formation energy	0.01	eV/atom
ΔE to the lowest computed polymorph	0.0	meV per atom
spin magnetization	0.0	μB/f.u.
E	-47.521	eV for the cell shown

No. 12
Material: Fe2RhPbSe
Method: DFT, PBE
State: optimized geometry

Cell lengths 4.798, 4.712, 4.798 Å; angles 90.00, 90.00, 90.00 degrees
Each line ends with the local moment (μB).
Fractional coordinates of all 5 atoms:
Pb  0.500  0.500  0.500  -0.11
Rh  0.000  0.000  0.000  0.51
Fe  0.000  0.000  0.500  3.29
Fe  0.500  0.000  0.000  2.83
Se  0.000  0.500  0.000  0.03

Summary:
spin magnetization	6.5	μB/f.u.
E	-28.015	eV for the cell shown